#1
First-principles (PBE-GGA) data for a relaxed structure of Sr2BiSe4, as listed in Alexandria.

Lattice parameters (Å, degrees): 7.980 7.980 7.980 110.81 106.82 110.81
Atoms (fractional coordinates):
Se1 0.120 0.394 0.367
Se2 0.633 0.753 0.027
Se3 0.117 0.894 0.370
Se4 0.777 0.253 0.883
Sr1 0.250 0.625 0.125
Bi1 0.750 0.500 0.250
Se5 0.973 0.606 0.726
Se6 0.630 0.747 0.524
Se7 0.476 0.106 0.223
Bi2 0.000 0.000 0.000
Se8 0.274 0.247 0.880
Sr2 0.500 0.375 0.625
Sr3 0.375 0.875 0.750
Sr4 0.875 0.125 0.500

Calculated values
SG: No. 122
Theoretical density: 5.95 g cm⁻³

#2
First-principles (PBE-GGA) data for a relaxed structure of Sr2BiSe4, as listed in Alexandria.

Lattice parameters (Å, degrees): 4.453 7.937 12.141 90.00 90.00 90.00
Atoms (fractional coordinates):
Se1 0.000 0.869 0.281
Bi1 0.000 0.500 0.000
Sr1 0.500 0.599 0.316
Se2 0.500 0.233 0.444
Sr2 0.500 0.901 0.816
Sr3 0.500 0.401 0.684
Se3 0.500 0.767 0.556
Se4 0.000 0.631 0.781
Se5 0.000 0.369 0.219
Se6 0.000 0.131 0.719
Se7 0.500 0.733 0.056
Bi2 0.000 0.000 0.500
Sr4 0.500 0.099 0.184
Se8 0.500 0.267 0.944

Calculated values
SG: No. 55
Theoretical density: 5.42 g cm⁻³

It is #1 that is the least stable of them.

#1
First-principles (PBE-GGA) data for a relaxed structure of Ta2BiSe, as listed in Alexandria.

Lattice parameters (Å, degrees): 4.793 4.793 4.793 60.00 60.00 60.00
Atoms (fractional coordinates):
Bi1 0.500 0.500 0.500
Ta1 0.750 0.750 0.750
Se1 0.000 0.000 0.000
Ta2 0.250 0.250 0.250

Calculated values
SG: No. 225
Theoretical density: 13.86 g cm⁻³

#2
First-principles (PBE-GGA) data for a relaxed structure of Ta2BiSe, as listed in Alexandria.

Lattice parameters (Å, degrees): 4.252 4.252 10.165 77.93 77.93 90.00
Atoms (fractional coordinates):
Bi1 0.000 0.000 0.000
Ta1 0.375 0.400 0.750
Bi2 0.750 0.250 0.500
Ta2 0.150 0.625 0.250
Se1 0.500 0.500 0.000
Ta3 0.600 0.125 0.250
Se2 0.250 0.750 0.500
Ta4 0.875 0.850 0.750

Calculated values
SG: No. 122
Theoretical density: 12.30 g cm⁻³

It is #2 that is the least stable of them.

#1
First-principles (PBE-GGA) data for a relaxed structure of TaBi3Se, as listed in Alexandria.

Lattice parameters (Å, degrees): 5.450 5.450 5.450 90.00 90.00 90.00
Atoms (fractional coordinates):
Bi1 0.500 0.000 0.000
Bi2 0.000 0.000 0.500
Bi3 0.000 0.500 0.000
Ta1 0.000 0.000 0.000
Se1 0.500 0.500 0.500

Calculated values
SG: No. 221
Theoretical density: 9.10 g cm⁻³

#2
First-principles (PBE-GGA) data for a relaxed structure of TaBi3Se, as listed in Alexandria.

Lattice parameters (Å, degrees): 5.446 5.446 5.446 90.00 90.00 90.00
Atoms (fractional coordinates):
Ta1 0.500 0.500 0.500
Bi1 0.000 0.500 0.000
Bi2 0.500 0.000 0.000
Bi3 0.000 0.000 0.500
Se1 0.000 0.000 0.000

Calculated values
SG: No. 221
Theoretical density: 9.12 g cm⁻³

It is #2 that is the least stable of them.

#1
First-principles (PBE-GGA) data for a relaxed structure of Tb3BiSe6, as listed in Alexandria.

Lattice parameters (Å, degrees): 7.149 8.972 8.972 103.24 90.00 90.00
Atoms (fractional coordinates):
Se1 0.211 0.097 0.557
Tb1 0.882 0.593 0.407
Bi1 0.999 0.180 0.820
Tb2 0.483 0.285 0.085
Bi2 0.499 0.820 0.180
Se2 0.114 0.769 0.231
Tb3 0.983 0.715 0.915
Se3 0.711 0.557 0.097
Se4 0.677 0.632 0.699
Se5 0.177 0.368 0.301
Se6 0.249 0.007 0.993
Tb4 0.983 0.085 0.285
Se7 0.614 0.231 0.769
Tb5 0.382 0.407 0.593
Se8 0.177 0.699 0.632
Se9 0.211 0.443 0.903
Se10 0.711 0.903 0.443
Se11 0.749 0.993 0.007
Tb6 0.483 0.915 0.715
Se12 0.677 0.301 0.368

Calculated values
SG: No. 36
Theoretical density: 6.87 g cm⁻³

#2
First-principles (PBE-GGA) data for a relaxed structure of Tb3BiSe6, as listed in Alexandria.

Lattice parameters (Å, degrees): 4.187 11.811 11.941 109.35 90.00 90.00
Atoms (fractional coordinates):
Se1 0.250 0.265 0.721
Tb1 0.250 0.841 0.921
Se2 0.750 0.735 0.279
Tb2 0.250 0.570 0.166
Bi1 0.250 0.981 0.315
Tb3 0.750 0.430 0.834
Se3 0.250 0.080 0.906
Se4 0.250 0.604 0.936
Se5 0.750 0.117 0.472
Se6 0.750 0.801 0.746
Se7 0.250 0.199 0.254
Tb4 0.750 0.669 0.494
Bi2 0.750 0.019 0.685
Tb5 0.750 0.159 0.079
Tb6 0.250 0.331 0.506
Se8 0.750 0.396 0.064
Se9 0.750 0.486 0.618
Se10 0.250 0.514 0.382
Se11 0.750 0.920 0.094
Se12 0.250 0.883 0.528

Calculated values
SG: No. 11
Theoretical density: 6.91 g cm⁻³

It is #1 that is the least stable of them.

#1
First-principles (PBE-GGA) data for a relaxed structure of Tb3Bi2Se, as listed in Alexandria.

Lattice parameters (Å, degrees): 7.571 7.571 13.793 100.53 100.53 109.50
Atoms (fractional coordinates):
Se1 0.333 0.833 0.667
Tb1 0.484 0.984 0.500
Tb2 0.234 0.234 0.000
Bi1 0.831 0.331 0.663
Tb3 0.084 0.074 0.672
Tb4 0.166 0.676 0.828
Bi2 0.748 0.748 0.497
Tb5 0.588 0.598 0.672
Tb6 0.016 0.516 0.500
Tb7 0.324 0.834 0.172
Bi3 0.419 0.419 0.837
Bi4 0.669 0.169 0.337
Tb8 0.926 0.916 0.328
Tb9 0.848 0.338 0.172
Bi5 0.502 0.002 0.003
Bi6 0.252 0.252 0.503
Se2 0.083 0.083 0.167
Tb10 0.402 0.412 0.328
Se3 0.917 0.917 0.833
Bi7 0.581 0.581 0.163
Tb11 0.766 0.766 0.000
Se4 0.167 0.667 0.333
Tb12 0.662 0.152 0.828
Bi8 0.998 0.498 0.997

Calculated values
SG: No. 70
Theoretical density: 9.15 g cm⁻³

#2
First-principles (PBE-GGA) data for a relaxed structure of Tb3Bi2Se, as listed in Alexandria.

Lattice parameters (Å, degrees): 6.138 9.045 9.045 119.83 90.00 90.00
Atoms (fractional coordinates):
Tb1 0.993 0.154 0.154
Se1 0.493 0.158 0.158
Tb2 0.493 0.482 0.170
Bi1 0.493 0.502 0.836
Bi2 0.993 0.164 0.498
Bi3 0.993 0.498 0.164
Tb3 0.993 0.830 0.518
Tb4 0.493 0.170 0.482
Bi4 0.493 0.836 0.502
Tb5 0.493 0.846 0.846
Se2 0.993 0.842 0.842
Tb6 0.993 0.518 0.830

Calculated values
SG: No. 63
Theoretical density: 7.42 g cm⁻³

It is #2 that is the least stable of them.

#1
First-principles (PBE-GGA) data for a relaxed structure of Tc3BiSe, as listed in Alexandria.

Lattice parameters (Å, degrees): 5.140 5.140 5.140 90.00 90.00 90.00
Atoms (fractional coordinates):
Tc1 0.500 0.000 0.000
Bi1 0.000 0.000 0.000
Se1 0.500 0.500 0.500
Tc2 0.000 0.000 0.500
Tc3 0.000 0.500 0.000

Calculated values
SG: No. 221
Theoretical density: 7.11 g cm⁻³

#2
First-principles (PBE-GGA) data for a relaxed structure of Tc3BiSe, as listed in Alexandria.

Lattice parameters (Å, degrees): 4.640 4.640 4.640 90.00 90.00 90.00
Atoms (fractional coordinates):
Tc1 0.000 0.000 0.500
Tc2 0.500 0.000 0.000
Tc3 0.000 0.500 0.000
Bi1 0.500 0.500 0.500
Se1 0.000 0.000 0.000

Calculated values
SG: No. 221
Theoretical density: 9.67 g cm⁻³

It is #1 that is the least stable of them.

#1
First-principles (PBE-GGA) data for a relaxed structure of TcBi3Se, as listed in Alexandria.

Lattice parameters (Å, degrees): 5.286 5.286 5.286 90.00 90.00 90.00
Atoms (fractional coordinates):
Bi1 0.000 0.500 0.000
Bi2 0.000 0.000 0.500
Bi3 0.500 0.000 0.000
Se1 0.500 0.500 0.500
Tc1 0.000 0.000 0.000

Calculated values
SG: No. 221
Theoretical density: 9.04 g cm⁻³

#2
First-principles (PBE-GGA) data for a relaxed structure of TcBi3Se, as listed in Alexandria.

Lattice parameters (Å, degrees): 5.498 5.498 5.498 90.00 90.00 90.00
Atoms (fractional coordinates):
Se1 0.000 0.000 0.000
Bi1 0.000 0.000 0.500
Bi2 0.500 0.000 0.000
Bi3 0.000 0.500 0.000
Tc1 0.500 0.500 0.500

Calculated values
SG: No. 221
Theoretical density: 8.03 g cm⁻³

It is #2 that is the least stable of them.

#1
First-principles (PBE-GGA) data for a relaxed structure of Bi3Te3Se, as listed in Alexandria.

Lattice parameters (Å, degrees): 6.561 9.653 9.656 120.00 90.00 90.00
Atoms (fractional coordinates):
Te1 0.750 0.955 0.657
Bi1 0.750 0.065 0.363
Te2 0.250 0.657 0.701
Se1 0.750 0.333 0.667
Bi2 0.250 0.935 0.637
Se2 0.250 0.667 0.333
Bi3 0.250 0.363 0.297
Te3 0.250 0.299 0.955
Bi4 0.750 0.297 0.935
Te4 0.750 0.701 0.045
Bi5 0.250 0.703 0.065
Bi6 0.750 0.637 0.703
Te5 0.750 0.343 0.299
Te6 0.250 0.045 0.343

Calculated values
SG: No. 176
Theoretical density: 6.83 g cm⁻³

#2
First-principles (PBE-GGA) data for a relaxed structure of Bi3Te3Se, as listed in Alexandria.

Lattice parameters (Å, degrees): 4.379 9.012 12.448 87.84 90.00 90.00
Atoms (fractional coordinates):
Te1 0.250 0.898 0.861
Te2 0.250 0.344 0.381
Bi1 0.750 0.097 0.384
Te3 0.250 0.400 0.885
Te4 0.750 0.656 0.619
Bi2 0.250 0.391 0.645
Bi3 0.750 0.609 0.355
Se1 0.250 0.838 0.359
Te5 0.750 0.102 0.139
Te6 0.750 0.600 0.115
Bi4 0.750 0.152 0.881
Se2 0.750 0.162 0.641
Bi5 0.250 0.848 0.119
Bi6 0.250 0.903 0.616

Calculated values
SG: No. 11
Theoretical density: 7.36 g cm⁻³

It is #1 that is the least stable of them.

#1
First-principles (PBE-GGA) data for a relaxed structure of BiTe2Se2, as listed in Alexandria.

Lattice parameters (Å, degrees): 8.275 8.275 3.996 90.00 90.00 90.00
Atoms (fractional coordinates):
Te1 0.647 0.853 0.500
Se1 0.170 0.330 0.000
Bi1 0.000 0.000 0.000
Te2 0.853 0.353 0.500
Bi2 0.500 0.500 0.000
Se2 0.830 0.670 0.000
Se3 0.670 0.170 0.000
Te3 0.147 0.647 0.500
Se4 0.330 0.830 0.000
Te4 0.353 0.147 0.500

Calculated values
SG: No. 127
Theoretical density: 7.55 g cm⁻³

#2
First-principles (PBE-GGA) data for a relaxed structure of BiTe2Se2, as listed in Alexandria.

Lattice parameters (Å, degrees): 9.177 9.177 3.484 90.00 90.00 90.00
Atoms (fractional coordinates):
Bi1 0.000 0.000 0.000
Se1 0.393 0.107 0.500
Bi2 0.500 0.500 0.000
Se2 0.107 0.607 0.500
Te1 0.269 0.769 0.000
Te2 0.769 0.731 0.000
Te3 0.231 0.269 0.000
Te4 0.731 0.231 0.000
Se3 0.893 0.393 0.500
Se4 0.607 0.893 0.500

Calculated values
SG: No. 127
Theoretical density: 7.04 g cm⁻³

It is #1 that is the least stable of them.

#1
First-principles (PBE-GGA) data for a relaxed structure of Bi3TeSe, as listed in Alexandria.

Lattice parameters (Å, degrees): 5.841 5.841 5.841 90.00 90.00 90.00
Atoms (fractional coordinates):
Bi1 0.000 0.000 0.500
Se1 0.500 0.500 0.500
Bi2 0.500 0.000 0.000
Bi3 0.000 0.500 0.000
Te1 0.000 0.000 0.000

Calculated values
SG: No. 221
Theoretical density: 6.94 g cm⁻³

#2
First-principles (PBE-GGA) data for a relaxed structure of Bi3TeSe, as listed in Alexandria.

Lattice parameters (Å, degrees): 5.605 5.605 5.605 90.00 90.00 90.00
Atoms (fractional coordinates):
Bi1 0.000 0.500 0.000
Bi2 0.500 0.000 0.000
Te1 0.500 0.500 0.500
Se1 0.000 0.000 0.000
Bi3 0.000 0.000 0.500

Calculated values
SG: No. 221
Theoretical density: 7.86 g cm⁻³

It is #1 that is the least stable of them.

#1
First-principles (PBE-GGA) data for a relaxed structure of BiTeSe3, as listed in Alexandria.

Lattice parameters (Å, degrees): 5.321 5.321 5.321 90.00 90.00 90.00
Atoms (fractional coordinates):
Te1 0.000 0.000 0.000
Se1 0.000 0.000 0.500
Bi1 0.500 0.500 0.500
Se2 0.000 0.500 0.000
Se3 0.500 0.000 0.000

Calculated values
SG: No. 221
Theoretical density: 6.32 g cm⁻³

#2
First-principles (PBE-GGA) data for a relaxed structure of BiTeSe3, as listed in Alexandria.

Lattice parameters (Å, degrees): 5.465 6.352 11.545 119.69 90.00 90.00
Atoms (fractional coordinates):
Te1 0.750 0.905 0.353
Bi1 0.750 0.822 0.827
Bi2 0.250 0.178 0.173
Se1 0.750 0.902 0.093
Se2 0.750 0.428 0.239
Se3 0.250 0.572 0.761
Se4 0.750 0.036 0.638
Se5 0.250 0.098 0.907
Te2 0.250 0.095 0.647
Se6 0.250 0.964 0.362

Calculated values
SG: No. 11
Theoretical density: 5.47 g cm⁻³

It is #1 that is the least stable of them.